Entry 1:
VASP calculation (GGA-PBE) on a relaxed structure of LiCePd3.

## Properties
* formation enthalpy at 0 K: -0.58 eV/atom
* V: 179.9 Å³ per cell
* space group: No. 1

abc: 5.7880 5.8096 6.1653
angles: 89.97 90.00 60.22
Sites, in units of the cell vectors:
Li: 0.0000 0.0000 0.0000
Li: 0.1191 0.7532 0.4977
Ce: 0.4122 0.1734 0.2444
Ce: 0.7080 0.5776 0.7437
Pd: 0.2250 0.0724 0.6968
Pd: 0.2394 0.5173 0.8386
Pd: 0.4218 0.6781 0.1977
Pd: 0.6990 0.0721 0.6997
Pd: 0.8799 0.2355 0.3407
Pd: 0.8954 0.6778 0.1949



Entry 2:
VASP calculation (GGA-PBE) on a relaxed structure of BSeS2Cl.

## Properties
* formation energy without anion corrections: 6.5 eV per formula unit
* V: 115.9 Å³ per cell
* E above lowest polymorph: 0.541 eV per atom
* space group: No. 123

abc: 4.8324 4.8324 4.9651
angles: 90.00 90.00 90.00
Sites, in units of the cell vectors:
B: 0.0000 0.0000 0.0000
Se: 0.5000 0.5000 0.5000
S: 0.0000 0.5000 0.5000
S: 0.5000 0.0000 0.5000
Cl: 0.5000 0.5000 0.0000



Entry 3:
VASP calculation (GGA-PBE) on a relaxed structure of Tl2CdSiTe4.

## Properties
* formation energy without anion corrections: -1.8 eV per formula unit
* V: 623.8 Å³ per cell
* space group: No. 31

abc: 8.6538 10.1956 7.0699
angles: 90.00 90.00 90.00
Sites, in units of the cell vectors:
Tl: 0.2150 0.1602 0.0000
Tl: 0.2850 0.8398 0.5000
Tl: 0.7150 0.8398 0.5000
Tl: 0.7850 0.1602 0.0000
Cd: 0.0000 0.3809 0.4458
Cd: 0.5000 0.6191 0.9458
Si: 0.0000 0.6573 0.9328
Si: 0.5000 0.3427 0.4328
Te: 0.0000 0.4224 0.0416
Te: 0.0000 0.6473 0.5729
Te: 0.2375 0.7884 0.0307
Te: 0.2625 0.2116 0.5307
Te: 0.5000 0.3527 0.0729
Te: 0.5000 0.5776 0.5416
Te: 0.7375 0.2116 0.5307
Te: 0.7625 0.7884 0.0307



Entry 4:
VASP calculation (GGA-PBE) on a relaxed structure of Zr2Cd4Ag.

## Properties
* formation enthalpy at 0 K: 0.04 eV/atom
* V: 641.1 Å³ per cell
* space group: No. 227

abc: 9.6785 9.6785 9.6785
angles: 60.00 60.00 60.00
Sites, in units of the cell vectors:
Zr: 0.1304 0.7899 0.7899
Zr: 0.2101 0.2101 0.2101
Zr: 0.2101 0.2101 0.8696
Zr: 0.2101 0.8696 0.2101
Zr: 0.7899 0.1304 0.7899
Zr: 0.7899 0.7899 0.1304
Zr: 0.7899 0.7899 0.7899
Zr: 0.8696 0.2101 0.2101
Cd: 0.0000 0.0000 0.0000
Cd: 0.0000 0.0000 0.5000
Cd: 0.0000 0.5000 0.0000
Cd: 0.1497 0.1497 0.6003
Cd: 0.1497 0.6003 0.1497
Cd: 0.1497 0.6003 0.6003
Cd: 0.3997 0.3997 0.8503
Cd: 0.3997 0.8503 0.3997
Cd: 0.3997 0.8503 0.8503
Cd: 0.5000 0.0000 0.0000
Cd: 0.6003 0.1497 0.1497
Cd: 0.6003 0.1497 0.6003
Cd: 0.6003 0.6003 0.1497
Cd: 0.8503 0.3997 0.3997
Cd: 0.8503 0.3997 0.8503
Cd: 0.8503 0.8503 0.3997
Ag: 0.0000 0.5000 0.5000
Ag: 0.5000 0.0000 0.5000
Ag: 0.5000 0.5000 0.0000
Ag: 0.5000 0.5000 0.5000



Q: Which of these has the lowest V?
A: BSeS2Cl